NbInFeNi: optimized geometry, PBE.

Unit cell a=4.394 b=4.394 c=4.394 alpha=60.00 beta=60.00 gamma=60.00
Sites, in units of the cell vectors:
Nb (0.000, 0.000, 0.000)
In (0.500, 0.500, 0.500)
Fe (0.250, 0.250, 0.250)
Ni (0.750, 0.750, 0.750)

Calculated values
For the total magnetization, the calculation gives 1.73 μB/cell. As for the space-group type: F-43m, No. 216. As for the calculated total energy: -6.80 eV/atom.